(1)
The following is a PBE calculation of an optimized crystal structure of Te2AsOs, from Alexandria.

The structure belongs to space group P4/mmm (No. 123); the cell edges are 3.133, 3.133 and 8.969 Å and the angles 90.00°, 90.00° and 90.00°. The asymmetric unit holds Te at (0.000, 0.000, 0.198), As at (0.500, 0.500, 0.500) and Os at (0.500, 0.500, 0.000).

***

(2)
The following is a PBE calculation of an optimized crystal structure of TeAsOs, from Alexandria.

The structure belongs to space group P2_1/c (No. 14); the cell edges are 6.436, 6.367 and 6.501 Å and the angles 90.00°, 113.05° and 90.00°. The asymmetric unit holds Te at (0.155, 0.125, 0.370), As at (0.353, 0.645, 0.671) and Os at (0.284, 0.508, 0.296).

***

Number 1: theoretical density 9.8 g/cm3, final energy -4.949 eV/atom. Number 2: theoretical density 10.6 g/cm3, final energy -6.553 eV/atom.